Here is crystalline Ba2Zn15Ni2 at its relaxed geometry from Alexandria via LeMat-Bulk. Energies are from PBE.

Cell and atoms, written as extended XYZ:
```
19
Lattice="4.643 2.680 4.504 -4.643 2.680 4.504 0.000 -5.361 4.504" Properties=species:S:1:pos:R:3 pbc="T T T"
Ba 0.000 0.000 2.072
Ba 0.000 0.000 11.440
Zn -2.321 -1.340 4.504
Zn 0.000 -2.510 4.344
Zn -2.174 1.255 4.344
Zn -1.265 -2.191 6.756
Zn -2.530 0.000 6.756
Zn -2.174 -1.255 9.168
Zn -2.321 1.340 9.008
Zn 1.265 -2.191 6.756
Zn 0.000 2.680 4.504
Zn -1.265 2.191 6.756
Zn 2.174 1.255 4.344
Zn 2.530 0.000 6.756
Zn 1.265 2.191 6.756
Zn 2.174 -1.255 9.168
Zn 0.000 2.510 9.168
Ni 0.000 0.000 5.461
Ni 0.000 0.000 8.051
```

The calculation puts the volume at 336.3 Å³/cell. Its final energy is -1.94 eV/atom. Its spin magnetization is 0.00 μB per formula unit. As for the space-group type: No. 166. Its formation energy is -0.119 eV per atom.